Computed, not measured: an optimized crystal structure of Li2ZrSi at the PBE-GGA level of DFT.

The structure in POSCAR format:
```
Li2ZrSi
1.0
2.8330 0.0000 0.0000
0.0000 3.7698 0.0000
0.0000 0.0000 6.5587
Li Zr Si
2 1 1
Cartesian
0.0000 0.0000 0.0000 Li
1.4165 1.8849 1.4317 Li
1.4165 1.8849 4.3936 Zr
0.0000 0.0000 2.8444 Si
```

Values from the calculation:
E_form (uncorrected)   -0.148 eV per atom
Space group   Pmm2 (25)
N(E_F)   0.6228 states/eV/atom